A relaxed structure of FeAu2N. Source: Alexandria via LeMat-Bulk, functional PBE.

```
FeAu2N
1.0
-0.5099 1.0446 -2.6138
-4.2797 -1.1543 0.3736
-1.9266 8.3442 3.7107
Fe Au N
2 4 2
Direct
0.0000 0.5000 0.4152 Fe
0.5000 0.0000 0.9152 Fe
0.0000 0.0000 0.6443 Au
0.5000 0.5000 0.1443 Au
0.0000 0.5000 0.8564 Au
0.5000 0.0000 0.3564 Au
0.0000 0.5000 0.5907 N
0.5000 0.0000 0.0907 N
```

Computed properties:
ΔE_f (raw) in meV per atom: 690
E_tot in eV per formula unit: -20.58
Magnetic moment in μB/f.u.: 1.71
Symmetry: No. 44
Density in g cm⁻³: 12.97
N(E_F) in states/eV/cell: 5.61
Crystal system: orthorhombic

=====

A relaxed structure of FeAu2N. Source: Alexandria via LeMat-Bulk, functional PBE.

```
FeAu2N
1.0
-2.7755 -3.5402 -1.0542
1.6546 -1.7545 1.5357
-2.1314 5.2068 8.2452
Fe Au N
2 4 2
Direct
0.0748 0.0000 0.8217 Fe
0.0748 0.5000 0.3217 Fe
0.2748 0.0000 0.1418 Au
0.2748 0.5000 0.6418 Au
0.6337 0.0000 0.5005 Au
0.6337 0.5000 0.0005 Au
0.8782 0.0000 0.3216 N
0.8782 0.5000 0.8216 N
```

Computed properties:
ΔE_f (raw) in meV per atom: 426
E_tot in eV per formula unit: -21.64
Magnetic moment in μB/f.u.: 0.00
Symmetry: No. 8
Density in g cm⁻³: 13.15
N(E_F) in states/eV/cell: 4.65
Crystal system: monoclinic

=====

A relaxed structure of FeAu2N. Source: Alexandria via LeMat-Bulk, functional PBE.

```
FeAu2N
1.0
-0.4628 2.6413 0.9660
-3.9783 -0.2386 -1.2525
-0.9509 -3.4208 4.6970
Fe Au N
1 2 1
Direct
0.3262 0.1621 0.8029 Fe
0.5567 0.1947 0.2650 Au
0.9264 0.6706 0.0040 Au
0.7437 0.1245 0.6377 N
```

Computed properties:
ΔE_f (raw) in meV per atom: 374
E_tot in eV per formula unit: -21.85
Magnetic moment in μB/f.u.: 0.65
Symmetry: No. 8
Density in g cm⁻³: 11.34
N(E_F) in states/eV/cell: 2.34
Crystal system: monoclinic

=====

A relaxed structure of FeAu2N. Source: Alexandria via LeMat-Bulk, functional PBE.

```
FeAu2N
1.0
-0.7846 0.2498 -2.7480
0.0835 -2.2876 -1.7291
-7.9164 -3.5322 1.9297
Fe Au N
1 2 1
Direct
0.5505 0.6388 0.3082 Fe
0.9686 0.7997 0.5714 Au
0.3975 0.9394 0.8662 Au
0.1951 0.3499 0.2408 N
```

Computed properties:
ΔE_f (raw) in meV per atom: 119
E_tot in eV per formula unit: -22.87
Magnetic moment in μB/f.u.: 0.00
Symmetry: No. 1
Density in g cm⁻³: 12.38
N(E_F) in states/eV/cell: 2.25
Crystal system: triclinic

=====

A relaxed structure of FeAu2N. Source: Alexandria via LeMat-Bulk, functional PBE.

```
FeAu2N
1.0
0.0000 3.0780 3.0780
3.0780 0.0000 3.0780
3.0780 3.0780 0.0000
Au Fe N
2 1 1
Direct
0.2500 0.2500 0.2500 Au
0.7500 0.7500 0.7500 Au
0.5000 0.5000 0.5000 Fe
0.0000 0.0000 0.0000 N
```

Computed properties:
ΔE_f (raw) in meV per atom: 1227
E_tot in eV per formula unit: -18.44
Magnetic moment in μB/f.u.: 4.29
Symmetry: No. 225
Density in g cm⁻³: 13.21
N(E_F) in states/eV/cell: 2.42
Crystal system: cubic

=====

A relaxed structure of FeAu2N. Source: Alexandria via LeMat-Bulk, functional PBE.

```
FeAu2N
1.0
4.5859 0.0000 0.0000
0.0000 2.8561 0.0000
0.0000 0.0000 5.4651
Fe Au N
1 2 1
Direct
0.0000 0.5000 0.1616 Fe
0.0000 0.0000 0.5898 Au
0.5000 0.5000 0.3931 Au
0.0000 0.0000 0.9940 N
```

Computed properties:
ΔE_f (raw) in meV per atom: 389
E_tot in eV per formula unit: -21.79
Magnetic moment in μB/f.u.: 0.01
Symmetry: No. 25
Density in g cm⁻³: 10.76
N(E_F) in states/eV/cell: 2.94
Crystal system: orthorhombic